(1)
! LiVIrBr2 | Alexandria | PBE | relaxed; values from VASP
! Energy relative to the elements, uncorrected in meV per atom: 998
&SYSTEM
  ibrav = 0, nat = 5, ntyp = 4
/
ATOMIC_SPECIES
Li 6.94 Li.upf
V 50.94 V.upf
Ir 192.22 Ir.upf
Br 79.90 Br.upf
CELL_PARAMETERS angstrom
5.0901 0.0000 0.0000
0.0000 5.0901 0.0000
0.0000 0.0000 4.5150
ATOMIC_POSITIONS crystal
Li 0.0000 0.0000 0.0000
V 0.5000 0.5000 0.0000
Ir 0.0000 0.0000 0.5000
Br 0.0000 0.5000 0.5000
Br 0.5000 0.0000 0.5000

=====

(2)
! Ba2BiAs3Pd4 | Alexandria | PBE | relaxed; values from VASP
! E_form in eV per atom: -0.701
&SYSTEM
  ibrav = 0, nat = 10, ntyp = 4
/
ATOMIC_SPECIES
Ba 137.33 Ba.upf
Bi 208.98 Bi.upf
As 74.92 As.upf
Pd 106.42 Pd.upf
CELL_PARAMETERS angstrom
4.6164 0.0000 0.0000
0.0000 4.6164 0.0000
0.0000 0.0000 10.7476
ATOMIC_POSITIONS crystal
Ba 0.0000 0.5000 0.2362
Ba 0.5000 0.0000 0.7638
Bi 0.0000 0.0000 0.5000
As 0.0000 0.5000 0.8810
As 0.5000 0.0000 0.1190
As 0.5000 0.5000 0.5000
Pd 0.0000 0.0000 0.0000
Pd 0.0000 0.5000 0.6413
Pd 0.5000 0.0000 0.3587
Pd 0.5000 0.5000 0.0000

=====

(3)
! TbNdSmTm | Alexandria | PBE | relaxed; values from VASP
! E above lowest polymorph in meV per atom: 0.0
! E_form in eV per atom: 0.114
&SYSTEM
  ibrav = 0, nat = 4, ntyp = 4
/
ATOMIC_SPECIES
Tb 158.93 Tb.upf
Nd 144.24 Nd.upf
Sm 150.36 Sm.upf
Tm 168.93 Tm.upf
CELL_PARAMETERS angstrom
6.2609 -2.9476 0.0000
6.2609 2.9476 0.0000
-1.1140 0.0000 3.5716
ATOMIC_POSITIONS crystal
Tb 0.0000 0.0000 0.0000
Nd 0.4801 0.4801 0.4778
Sm 0.7458 0.7458 0.2548
Tm 0.2369 0.2369 0.7417